DFT (PBE) results for an optimized crystal structure of AcEu2Al.

As for the calculated total energy: -28.608 eV for the cell shown.

It has space group P4/mmm (No. 123), with a = 5.0200 Å, b = 5.0200 Å, c = 5.3640 Å, α = 90.00°, β = 90.00° and γ = 90.00°. Symmetry generates all atoms from Ac at (0.0000, 0.0000, 0.0000), Eu at (0.0000, 0.5000, 0.5000) and Al at (0.5000, 0.5000, 0.0000).

=====

DFT (PBE) results for an optimized crystal structure of Ac2EuAl.

As for the calculated total energy: -89.088 eV for the cell shown.

It has space group Fm-3m (No. 225), with a = 8.2542 Å, b = 8.2542 Å, c = 8.2542 Å, α = 90.00°, β = 90.00° and γ = 90.00°. Symmetry generates all atoms from Ac at (0.2500, 0.2500, 0.2500), Eu at (0.0000, 0.0000, 0.0000) and Al at (0.0000, 0.0000, 0.5000).